No. 1
KNiH: optimized geometry, GGA-PBE.

Lattice parameters (Å, degrees): 3.5517 3.5517 9.5725 90.00 90.00 90.00
Positions (direct):
Ni  0.5000  0.5000  0.5000
Ni  0.0000  0.0000  0.5000
K  0.0000  0.5000  0.7807
K  0.5000  0.0000  0.2193
H  0.0000  0.5000  0.4894
H  0.5000  0.0000  0.5106

Properties
The value obtained for the total magnetic moment is 0.00 μB per formula unit. The value obtained for the density of states at the Fermi level is 4.0 states/eV per cell. As for the symmetry: P4/nmm (129). As for the total DFT energy (no corrections): -20.1 eV for the cell shown. Its volume is 60 Å³/f.u.


No. 2
BaAgPd3: optimized geometry, GGA-PBE.

Lattice parameters (Å, degrees): 5.3874 5.3874 5.3874 90.00 90.00 90.00
Positions (direct):
Pd  0.0000  0.5000  0.0000
Pd  0.0000  0.0000  0.5000
Pd  0.5000  0.0000  0.0000
Ba  0.0000  0.0000  0.0000
Ag  0.5000  0.5000  0.5000

Properties
The value obtained for the total magnetic moment is 0.00 μB per formula unit. For the energy of formation from the pure elements, the calculation gives 1.061 eV/atom. The value obtained for the density of states at the Fermi level is 2.7 states/eV per cell. As for the symmetry: Pm-3m (221). Its volume is 156 Å³/f.u.


No. 3
TbPm2Hg2: optimized geometry, GGA-PBE.

Lattice parameters (Å, degrees): 3.7918 5.3799 14.0726 90.00 97.74 90.00
Positions (direct):
Tb  0.8530  0.7500  0.7077
Tb  0.1470  0.2500  0.2923
Pm  0.0464  0.7500  0.0909
Pm  0.9536  0.2500  0.9091
Pm  0.2337  0.7500  0.4692
Pm  0.7663  0.2500  0.5308
Hg  0.6416  0.7500  0.2835
Hg  0.3584  0.2500  0.7165
Hg  0.4462  0.7500  0.8941
Hg  0.5538  0.2500  0.1059

Properties
The value obtained for the total magnetic moment is 0.43 μB per formula unit. For the energy of formation from the pure elements, the calculation gives -0.375 eV/atom. The value obtained for the density of states at the Fermi level is 11.5 states/eV per cell. As for the symmetry: P2_1/m (11). Its volume is 142 Å³/f.u.


No. 4
Na2Hg2H4Rh: optimized geometry, GGA-PBE.

Lattice parameters (Å, degrees): 5.8021 5.8021 5.8021 94.10 117.66 117.66
Positions (direct):
Na  0.5000  0.7500  0.2500
Na  0.5000  0.2500  0.7500
Hg  0.0000  0.6715  0.6715
Hg  0.0000  0.3285  0.3285
H  0.0000  0.8014  0.1986
H  0.6028  0.8014  0.8014
H  0.0000  0.1986  0.8014
H  0.3972  0.1986  0.1986
Rh  0.0000  0.0000  0.0000

Properties
The value obtained for the total magnetic moment is 0.00 μB per formula unit. The value obtained for the density of states at the Fermi level is 1.4 states/eV per cell. As for the symmetry: I4/mmm (139). As for the total DFT energy (no corrections): -24.9 eV for the cell shown. Its volume is 143 Å³/f.u.


No. 5
SrZnCr: optimized geometry, GGA-PBE.

Lattice parameters (Å, degrees): 4.5880 4.5880 4.4739 90.00 90.00 120.00
Positions (direct):
Cr  0.0000  0.0000  0.8333
Sr  0.6667  0.3333  0.3333
Zn  0.3333  0.6667  0.8333

Properties
The value obtained for the total magnetic moment is 4.28 μB per formula unit. For the energy of formation from the pure elements, the calculation gives 0.346 eV/atom. The value obtained for the density of states at the Fermi level is 2.2 states/eV per cell. As for the symmetry: P-6m2 (187). Its volume is 82 Å³/f.u.


No. 6
TcAsPt2: optimized geometry, GGA-PBE.

Lattice parameters (Å, degrees): 5.0021 5.0021 5.0021 134.60 134.60 66.15
Positions (direct):
As  0.7500  0.2500  0.5000
Tc  0.2500  0.7500  0.5000
Pt  0.0000  0.0000  0.0000
Pt  0.5000  0.5000  0.0000

Properties
The value obtained for the total magnetic moment is 0.04 μB per formula unit. For the energy of formation from the pure elements, the calculation gives 0.147 eV/atom. The value obtained for the density of states at the Fermi level is 4.2 states/eV per cell. As for the symmetry: I4/mmm (139). Its volume is 62 Å³/f.u.


total magnetic moment of number 3 (TbPm2Hg2)? 0.43 μB per formula unit